w) DFT (meta-GGA SCAN) results for a PBEsol-optimized structure of La2TlRh.

Computed properties:
- space-group type = R-3m, No. 166

Cell: 8.5667 8.5667 8.5667 Å, 27.22 27.22 27.22°
Last column: nearest neighbours and their distance in Å.
Fractional positions:
La  0.2326  0.2326  0.2326  3 Rh 2.84
La  0.7674  0.7674  0.7674  3 Rh 2.84
Tl  0.0000  0.0000  0.0000  6 La 3.41
Rh  0.5000  0.5000  0.5000  6 La 2.84

---

x) DFT (meta-GGA SCAN) results for a PBEsol-optimized structure of La2TlRh.

Computed properties:
- space-group type = P2/m, No. 10

Cell: 3.9081 3.7567 7.1817 Å, 90.00 97.85 90.00°
Last column: nearest neighbours and their distance in Å.
Fractional positions:
La  0.0810  0.0000  0.2849  2 Rh 2.81
La  0.9190  0.0000  0.7151  2 Rh 2.81
Tl  0.5000  0.5000  0.0000  8 La 3.36-3.41, 2 Rh 3.59, 2 Tl 3.76
Rh  0.5000  0.5000  0.5000  4 La 2.81

---

The structure with the greatest stability is w).